Material: Ba3NiB2O6
Method: DFT, GGA+U
State: optimized geometry

a b c (Å): 5.4575 5.4575 7.7002
angles (deg): 90.00 90.00 120.00
Space group P-3m1 (No. 164)
Asymmetric unit:
1 Ba 0.0000 0.0000 0.0000 [1 per cell]
2 Ba 0.3333 0.6667 0.6948 [2 per cell]
3 Ni 0.0000 0.0000 0.5000 [1 per cell]
4 B 0.3333 0.6667 0.3129 [2 per cell]
5 O 0.1846 0.3691 0.3232 [6 per cell]

Output
calculated total energy: -6.42 eV/atom
crystal system: trigonal